# CaLaIn, optimized geometry, DFT PBEsol
# Formation enthalpy at 0 K: -0.46 eV per atom
data_CaLaIn
_chemical_formula_sum 'Ca2 La2 In2'
_cell_length_a 5.5207
_cell_length_b 5.5207
_cell_length_c 6.9555
_cell_angle_alpha 90.00
_cell_angle_beta 90.00
_cell_angle_gamma 120.00
_space_group_name_H-M_alt 'P 63/m m c'
_space_group_IT_number 194
_space_group_name_Hall '-P 6c 2c'
loop_
_atom_site_label
_atom_site_type_symbol
_atom_site_fract_x
_atom_site_fract_y
_atom_site_fract_z
Ca1 Ca 0.0000 0.0000 0.0000
La1 La 0.3333 0.6667 0.2500
In1 In 0.3333 0.6667 0.7500